Ho3ThSc | PBE | optimized geometry

Mass density ... 8.42 Mg/m³
Total moment ... 0.00 μB/cell
SG ... P2_1/m
Formation energy ... 100 meV per atom
Distance to the lowest polymorph of the same formula ... 0.26 eV per formula unit

Lattice parameters (Å, degrees): 3.457 8.226 11.179 106.66 90.00 90.00
Sites, in units of the cell vectors:
Ho (0.750, 0.422, 0.327)
Ho (0.250, 0.578, 0.673)
Ho (0.750, 0.388, 0.872)
Ho (0.250, 0.020, 0.753)
Ho (0.250, 0.612, 0.128)
Ho (0.750, 0.980, 0.247)
Th (0.250, 0.805, 0.454)
Th (0.750, 0.195, 0.546)
Sc (0.250, 0.181, 0.060)
Sc (0.750, 0.819, 0.940)